{
  "formula": "ScBe2Co",
  "functional": "PBE",
  "state": "relaxed",
  "lattice_angstrom": [[4.2433, -0.0027, -0.0229], [-1.4198, 3.9987, -0.0229], [0.0180, 0.0255, 2.8461]],
  "species": ["Be", "Be", "Sc", "Co"],
  "frac_coords": [[0.5000, 0.5000, 0.0000], [0.0000, 0.0000, 0.0000], [0.0000, 0.5000, 0.5000], [0.5000, 0.0000, 0.5000]],
  "e_form_kj_per_mol_atoms": 13,
  "vol_a3_per_cell": 48.3,
  "spacegroup": "Cmmm (65)",
  "polymorph_energy_mev_per_atom": 334.0
}